Entry 1:
Computed, not measured: a relaxed NaSrCl3 crystal at the PBE level of DFT.

Results
- ΔE to the lowest computed polymorph (eV per atom) = 0.257
- DOS at the Fermi energy (states/eV/f.u.) = 0.00
- calculated density (g cm⁻³) = 2.74
- formation energy without anion corrections (meV per atom) = -1881

abc: 5.0835 5.0835 5.0835
angles: 90.00 90.00 90.00
Closest atoms and distances in Å follow each position.
Fractional positions:
Sr: 0.5000 0.5000 0.5000  12 Cl 3.59
Na: 0.0000 0.0000 0.0000  6 Cl 2.54
Cl: 0.0000 0.5000 0.0000  2 Na 2.54
Cl: 0.0000 0.0000 0.5000  2 Na 2.54
Cl: 0.5000 0.0000 0.0000  2 Na 2.54

=====

Entry 2:
Computed, not measured: a relaxed Na2Sr4Cl crystal at the PBE level of DFT.

Results
- DOS at the Fermi energy (states/eV/f.u.) = 6.30
- calculated density (g cm⁻³) = 2.12
- formation energy without anion corrections (meV per atom) = -338

abc: 5.7842 5.7842 10.9012
angles: 105.38 105.38 90.00
Closest atoms and distances in Å follow each position.
Fractional positions:
Sr: 0.8160 0.8160 0.6320  1 Cl 3.72, 1 Na 3.74
Sr: 0.1840 0.1840 0.3680  1 Cl 3.72, 1 Na 3.74
Sr: 0.0000 0.5000 0.0000  2 Cl 2.89
Sr: 0.5000 0.0000 0.0000  2 Cl 2.89
Na: 0.6310 0.6310 0.2620  5 Sr 3.74-3.92
Na: 0.3690 0.3690 0.7380  5 Sr 3.74-3.92
Cl: 0.0000 0.0000 0.0000  4 Sr 2.89

=====

Entry 3:
Computed, not measured: a relaxed Na3SrCl crystal at the PBE level of DFT.

Results
- ΔE to the lowest computed polymorph (eV per atom) = 0.765
- DOS at the Fermi energy (states/eV/f.u.) = 2.83
- calculated density (g cm⁻³) = 0.89
- formation energy without anion corrections (meV per atom) = 293

abc: 7.1103 7.1103 7.1103
angles: 90.00 90.00 90.00
Closest atoms and distances in Å follow each position.
Fractional positions:
Sr: 0.0000 0.0000 0.0000  6 Na 3.56
Na: 0.0000 0.5000 0.0000  2 Sr 3.56
Na: 0.0000 0.0000 0.5000  2 Sr 3.56
Na: 0.5000 0.0000 0.0000  2 Sr 3.56
Cl: 0.5000 0.5000 0.5000  12 Na 5.03

=====

Entry 4:
Computed, not measured: a relaxed NaSr4Cl10 crystal at the PBE level of DFT.

Results
- DOS at the Fermi energy (states/eV/f.u.) = 8.04
- calculated density (g cm⁻³) = 2.82
- formation energy without anion corrections (meV per atom) = -2161

abc: 4.9866 4.9866 20.1019
angles: 82.88 82.88 60.00
Closest atoms and distances in Å follow each position.
Fractional positions:
Na: 0.0000 0.0000 0.0000  8 Cl 2.85-2.99
Sr: 0.3978 0.3978 0.8067  8 Cl 3.04-3.05
Sr: 0.7993 0.7993 0.6020  8 Cl 3.05-3.06
Sr: 0.2007 0.2007 0.3980  8 Cl 3.05-3.06
Sr: 0.6022 0.6022 0.1933  8 Cl 3.04-3.05
Cl: 0.9522 0.9522 0.1433  1 Na 2.85, 3 Sr 3.05
Cl: 0.1496 0.1496 0.5512  4 Sr 3.05
Cl: 0.5512 0.5512 0.3465  4 Sr 3.05-3.06
Cl: 0.3468 0.3468 0.9597  3 Na 2.99, 1 Sr 3.04, 3 Cl 3.29
Cl: 0.7481 0.7481 0.7557  4 Sr 3.05-3.06
Cl: 0.6532 0.6532 0.0403  3 Na 2.99, 1 Sr 3.04, 3 Cl 3.29
Cl: 0.8504 0.8504 0.4488  4 Sr 3.05
Cl: 0.2519 0.2519 0.2443  4 Sr 3.05-3.06
Cl: 0.0478 0.0478 0.8567  1 Na 2.85, 3 Sr 3.05
Cl: 0.4488 0.4488 0.6535  4 Sr 3.05-3.06

=====

Entry 5:
Computed, not measured: a relaxed Na4SrCl6 crystal at the PBE level of DFT.

Results
- DOS at the Fermi energy (states/eV/f.u.) = 0.00
- calculated density (g cm⁻³) = 2.40
- formation energy without anion corrections (meV per atom) = -1976

abc: 4.0411 6.9443 20.2410
angles: 90.00 90.00 106.92
Closest atoms and distances in Å follow each position.
Fractional positions:
Na: 0.8603 0.7207 0.5398  6 Cl 2.79-2.86
Na: 0.4051 0.8101 0.1255  6 Cl 2.80-2.92
Na: 0.1397 0.2793 0.4602  6 Cl 2.79-2.86
Na: 0.5949 0.1899 0.8745  6 Cl 2.80-2.92
Na: 0.8603 0.7207 0.9602  6 Cl 2.79-2.86
Na: 0.1397 0.2793 0.0398  6 Cl 2.79-2.86
Na: 0.5949 0.1899 0.6255  6 Cl 2.80-2.92
Na: 0.4051 0.8101 0.3745  6 Cl 2.80-2.92
Sr: 0.6578 0.3156 0.2500  6 Cl 2.89-3.01
Sr: 0.3422 0.6844 0.7500  6 Cl 2.89-3.01
Cl: 0.5000 0.0000 0.0000  6 Na 2.84-2.86
Cl: 0.5000 0.0000 0.5000  6 Na 2.84-2.86
Cl: 0.0519 0.1039 0.3351  3 Na 2.79-2.92, 2 Sr 3.01
Cl: 0.9481 0.8961 0.6649  3 Na 2.79-2.92, 2 Sr 3.01
Cl: 0.9481 0.8961 0.8351  3 Na 2.79-2.92, 2 Sr 3.01
Cl: 0.0519 0.1039 0.1649  3 Na 2.79-2.92, 2 Sr 3.01
Cl: 0.7709 0.5418 0.4126  5 Na 2.80-2.84
Cl: 0.2291 0.4582 0.5874  5 Na 2.80-2.84
Cl: 0.2291 0.4582 0.9126  5 Na 2.80-2.84
Cl: 0.7709 0.5418 0.0874  5 Na 2.80-2.84
Cl: 0.3137 0.6273 0.2500  2 Na 2.80, 2 Sr 2.89
Cl: 0.6863 0.3727 0.7500  2 Na 2.80, 2 Sr 2.89

=====

Entry 6:
Computed, not measured: a relaxed NaSrCl crystal at the PBE level of DFT.

Results
- ΔE to the lowest computed polymorph (eV per atom) = 0.103
- DOS at the Fermi energy (states/eV/f.u.) = 1.79
- calculated density (g cm⁻³) = 2.06
- formation energy without anion corrections (meV per atom) = -1035

abc: 3.8802 3.8802 8.2900
angles: 103.53 103.53 90.00
Closest atoms and distances in Å follow each position.
Fractional positions:
Sr: 0.6987 0.6987 0.3974  4 Cl 3.07
Na: 0.0145 0.0145 0.0290  4 Na 3.88, 4 Sr 3.98, 1 Cl 4.26
Cl: 0.2868 0.2868 0.5736  4 Sr 3.07